1.
A geometry-optimized CoRh2Se structure, computed with PBE-GGA.

```
CoRh2Se
1.0
2.869 0.000 0.000
-1.435 2.485 0.000
0.000 0.000 24.336
Co Rh Se
3 6 3
direct
0.000 0.000 0.000
0.333 0.667 0.667
0.667 0.333 0.333
0.000 0.000 0.251
0.000 0.000 0.749
0.333 0.667 0.416
0.333 0.667 0.917
0.667 0.333 0.083
0.667 0.333 0.584
0.000 0.000 0.500
0.333 0.667 0.167
0.667 0.333 0.833
```

Properties
V: 173.5 Å³/cell
Formation energy without anion corrections: 0.196 eV/atom
Space group: R-3m, No. 166

***

2.
A geometry-optimized Ag3SeF2 structure, computed with PBE-GGA.

```
Ag3SeF2
1.0
5.993 -2.641 0.000
5.993 2.641 0.000
-2.044 0.000 6.685
Ag Se F
6 2 4
direct
0.003 0.997 0.750
0.327 0.327 0.413
0.327 0.327 0.913
0.673 0.673 0.087
0.673 0.673 0.587
0.997 0.003 0.250
0.498 0.502 0.250
0.502 0.498 0.750
0.188 0.189 0.094
0.189 0.188 0.594
0.811 0.812 0.406
0.812 0.811 0.906
```

Properties
V: 211.6 Å³/cell
Formation energy without anion corrections: -0.712 eV/atom
Space group: C2/c, No. 15
Excess energy over the best structure of this formula in the dataset: 0.000 eV per atom

***

3.
A geometry-optimized CeHoSc2 structure, computed with PBE-GGA.

```
CeHoSc2
1.0
3.382 0.000 0.000
-1.691 2.929 0.000
0.000 0.000 32.539
Ce Ho Sc
3 3 6
direct
0.000 0.000 0.000
0.333 0.667 0.667
0.667 0.333 0.333
0.000 0.000 0.500
0.333 0.667 0.167
0.667 0.333 0.833
0.000 0.000 0.251
0.000 0.000 0.749
0.333 0.667 0.415
0.333 0.667 0.918
0.667 0.333 0.082
0.667 0.333 0.585
```

Properties
V: 322.2 Å³/cell
Space group: R-3m, No. 166
Excess energy over the best structure of this formula in the dataset: 0.000 eV per atom

***

4.
A geometry-optimized Hg2GeAuF structure, computed with PBE-GGA.

```
Hg2GeAuF
1.0
5.295 0.000 0.000
0.000 5.295 0.000
0.000 0.000 4.815
Hg Ge Au F
2 1 1 1
direct
0.000 0.500 0.000
0.500 0.000 0.000
0.000 0.000 0.000
0.000 0.000 0.500
0.500 0.500 0.500
```

Properties
V: 135.0 Å³/cell
Formation energy without anion corrections: -0.099 eV/atom
Space group: P4/mmm, No. 123

***

Number 1: energy -6.1272 eV per atom, total magnetization 0.629 μB/atom. Number 2: energy -3.3423 eV per atom, total magnetization 0.000 μB/atom. Number 3: energy -5.7283 eV per atom, total magnetization 0.059 μB/atom. Number 4: energy -2.1732 eV per atom, total magnetization 0.000 μB/atom.